Entry 1:
Entry from Alexandria via LeMat-Bulk: an optimized crystal structure of SrAc3Pr (PBE).

Geometry as POSCAR:
```
SrAc3Pr
1.0
-0.8603 -0.2812 5.5990
-9.7755 -7.5077 -1.8790
8.6850 -1.2273 1.2728
Sr Ac Pr
2 6 2
direct
0.2500 0.7535 0.0103 Sr
0.7500 0.2465 0.9897 Sr
0.7500 0.6610 0.2167 Ac
0.2500 0.3390 0.7833 Ac
0.2500 0.5593 0.4064 Ac
0.7500 0.8510 0.7974 Ac
0.7500 0.4407 0.5936 Ac
0.2500 0.1490 0.2026 Ac
0.2500 0.9469 0.5974 Pr
0.7500 0.0531 0.4026 Pr
```

Calculated values
For the density of states at the Fermi level, the calculation gives 1.788 states/eV/atom. For the energy of formation from the pure elements, the calculation gives 0.35 eV per formula unit.

Entry 2:
Entry from Alexandria via LeMat-Bulk: an optimized crystal structure of CeGdTcIr (PBE).

Geometry as POSCAR:
```
CeGdTcIr
1.0
-1.6375 -3.5783 -2.9159
2.1479 -4.4010 0.0812
-2.3561 -3.8398 1.9219
Ce Ir Tc Gd
1 1 1 1
direct
0.7500 0.7500 0.7500 Ce
0.0000 0.0000 0.0000 Ir
0.5000 0.5000 0.5000 Tc
0.2500 0.2500 0.2500 Gd
```

Calculated values
For the density of states at the Fermi level, the calculation gives 0.783 states/eV/atom. For the energy of formation from the pure elements, the calculation gives -1.30 eV per formula unit.

Entry 3:
Entry from Alexandria via LeMat-Bulk: an optimized crystal structure of NbTe2AuO8 (PBE).

Geometry as POSCAR:
```
NbTe2AuO8
1.0
5.7931 0.0000 0.0000
2.8966 5.9557 0.9168
2.8966 3.1826 5.3002
O Te Au Nb
8 2 1 1
direct
0.6362 0.9334 0.2681 O
0.8885 0.4002 0.8227 O
0.6642 0.4988 0.1727 O
0.1622 0.9334 0.2681 O
0.1115 0.5998 0.1773 O
0.3358 0.5012 0.8273 O
0.8378 0.0666 0.7319 O
0.3638 0.0666 0.7319 O
0.7191 0.7936 0.7682 Te
0.2809 0.2064 0.2318 Te
0.5000 0.5000 0.5000 Au
0.0000 0.0000 0.0000 Nb
```

Calculated values
For the density of states at the Fermi level, the calculation gives 0.197 states/eV/atom. The value obtained for the formation energy from raw total energies is -12.4 eV per formula unit.

For the records above, the corresponding final energy values read -3.6872, -10.1344, -5.9784 eV/atom.